ScReRu4 (PBE, optimized geometry); uncorrected energy = -54.987 eV per cell; total magnetization = 0.0 μB/f.u.
1.0
0.0000 3.6006 3.6006
3.6006 0.0000 3.6006
3.6006 3.6006 0.0000
Sc Re Ru
1 1 4
direct
0.0000 0.0000 0.0000
0.7500 0.7500 0.7500
0.3747 0.3747 0.3747
0.3747 0.3747 0.8759
0.3747 0.8759 0.3747
0.8759 0.3747 0.3747

***

ScRe2Ru (PBE, optimized geometry); energy above the lowest structure with this stoichiometry = 141 meV per atom; total magnetization = 0.0 μB/f.u.
1.0
2.7659 0.0000 0.0000
0.0000 4.5385 0.0000
-1.0702 0.0000 4.9722
Sc Re Ru
1 2 1
direct
0.0000 0.0000 0.0000
0.2473 0.5000 0.7512
0.7527 0.5000 0.2488
0.5000 0.0000 0.5000

***

ScRe2Ru (PBE, optimized geometry); energy above the lowest structure with this stoichiometry = 263 meV per atom; total magnetization = 0.0 μB/f.u.
1.0
2.8094 0.0000 0.0000
0.0000 4.3596 0.0000
0.0000 0.0000 5.1970
Sc Re Ru
1 2 1
direct
0.0000 0.0000 0.0000
0.5000 0.5000 0.2567
0.5000 0.5000 0.7433
0.0000 0.0000 0.5000

***

ScRe2Ru (PBE, optimized geometry); energy above the lowest structure with this stoichiometry = 285 meV per atom; total magnetization = 0.0 μB/f.u.
1.0
4.5419 0.0000 0.0000
0.0000 4.5419 0.0000
0.0000 0.0000 3.0123
Sc Re Ru
1 2 1
direct
0.0000 0.0000 0.0000
0.0000 0.5000 0.5000
0.5000 0.0000 0.5000
0.5000 0.5000 0.0000

***

ScRe3Ru (PBE, optimized geometry); uncorrected energy = -40.266 eV per cell; total magnetization = 0.0 μB/f.u.
1.0
4.4858 0.0000 0.0000
0.0000 4.4858 0.0000
0.0000 0.0000 4.4858
Sc Re Ru
1 3 1
direct
0.0000 0.0000 0.0000
0.0000 0.0000 0.5000
0.0000 0.5000 0.0000
0.5000 0.0000 0.0000
0.5000 0.5000 0.5000

***

ScRe2Ru (PBE, optimized geometry); energy above the lowest structure with this stoichiometry = 165 meV per atom; total magnetization = 0.0 μB/f.u.
1.0
2.7593 0.0000 0.0000
0.0000 2.7593 0.0000
0.0000 0.0000 8.3606
Sc Re Ru
1 2 1
direct
0.0000 0.0000 0.0000
0.5000 0.5000 0.2746
0.5000 0.5000 0.7254
0.0000 0.0000 0.5000

***

ScRe2Ru (PBE, optimized geometry); energy above the lowest structure with this stoichiometry = 127 meV per atom; total magnetization = 0.0 μB/f.u.
1.0
-1.5497 2.2885 4.4384
1.5497 -2.2885 4.4384
1.5497 2.2885 -4.4384
Sc Re Ru
1 2 1
direct
0.0000 0.0000 0.0000
0.2633 0.7633 0.5000
0.4955 0.4955 0.0000
0.7423 0.2423 0.5000

***

ScRe2Ru (PBE, optimized geometry); energy above the lowest structure with this stoichiometry = 296 meV per atom; total magnetization = 0.0 μB/f.u.
1.0
1.4174 0.8183 9.1351
-1.4174 0.8183 9.1351
0.0000 -1.6367 9.1351
Sc Re Ru
1 2 1
direct
0.0000 0.0000 0.0000
0.2443 0.2443 0.2443
0.7557 0.7557 0.7557
0.5000 0.5000 0.5000

***

ScReRu3 (PBE, optimized geometry); energy above the lowest structure with this stoichiometry = 0 meV per atom; total magnetization = 0.0 μB/f.u.
1.0
4.6602 0.0000 0.0000
0.0000 4.6602 0.0000
0.0000 0.0000 4.6602
Sc Re Ru
1 1 3
direct
0.0000 0.0000 0.0000
0.5000 0.5000 0.5000
0.0000 0.5000 0.5000
0.5000 0.0000 0.5000
0.5000 0.5000 0.0000

***

ScRe2Ru (PBE, optimized geometry); energy above the lowest structure with this stoichiometry = 235 meV per atom; total magnetization = 0.0 μB/f.u.
1.0
2.5724 -4.3609 0.0000
2.5724 4.3609 0.0000
0.0000 0.0000 2.8183
Sc Re Ru
1 2 1
direct
0.0000 0.0000 0.0000
0.0000 0.5000 0.5000
0.5000 0.0000 0.5000
0.5000 0.5000 0.0000

***

ScRe2Ru (PBE, optimized geometry); energy above the lowest structure with this stoichiometry = 346 meV per atom; total magnetization = 0.0 μB/f.u.
1.0
0.0000 3.1441 3.1441
3.1441 0.0000 3.1441
3.1441 3.1441 0.0000
Sc Re Ru
1 2 1
direct
0.0000 0.0000 0.0000
0.2500 0.2500 0.2500
0.7500 0.7500 0.7500
0.5000 0.5000 0.5000

***

ScRe2Ru (PBE, optimized geometry); energy above the lowest structure with this stoichiometry = 632 meV per atom; total magnetization = 0.0 μB/f.u.
1.0
-3.7226 3.7226 2.5371
3.7226 -3.7226 2.5371
3.7226 3.7226 -2.5371
Sc Re Ru
2 4 2
direct
0.0000 0.0000 0.0000
0.7500 0.2500 0.5000
0.1640 0.6250 0.0390
0.3750 0.4140 0.5390
0.5860 0.1250 0.9610
0.8750 0.8360 0.4610
0.2500 0.7500 0.5000
0.5000 0.5000 0.0000

***

ScRe2Ru (PBE, optimized geometry); energy above the lowest structure with this stoichiometry = 1 meV per atom; total magnetization = 0.0 μB/f.u.
1.0
3.1154 0.0000 0.0000
0.0000 3.1154 0.0000
0.0000 0.0000 6.4863
Sc Re Ru
1 2 1
direct
0.0000 0.0000 0.0000
0.0000 0.0000 0.4981
0.5000 0.5000 0.2749
0.5000 0.5000 0.7551

***

ScRe2Ru (PBE, optimized geometry); energy above the lowest structure with this stoichiometry = 120 meV per atom; total magnetization = 0.0 μB/f.u.
1.0
2.7738 0.0000 0.0000
0.0000 4.3888 0.0000
-0.8964 0.0000 5.1441
Sc Re Ru
1 2 1
direct
0.0000 0.0000 0.0000
0.5287 0.0000 0.4940
0.7417 0.5000 0.2748
0.2377 0.5000 0.7715

***

Sc2ReSnRu (PBE, optimized geometry); uncorrected energy = -34.383 eV per cell; total magnetization = 1.5 μB/f.u.
1.0
4.9319 0.0000 0.0000
0.0000 4.9319 0.0000
0.0000 0.0000 5.0628
Sc Re Sn Ru
2 1 1 1
direct
0.0000 0.5000 0.0000
0.5000 0.0000 0.0000
0.0000 0.0000 0.0000
0.0000 0.0000 0.5000
0.5000 0.5000 0.5000

***

Sr2ScReRu (PBE, optimized geometry); uncorrected energy = -23.225 eV per cell; total magnetization = 3.3 μB/f.u.
1.0
6.0592 0.0000 0.0000
0.0000 6.0592 0.0000
0.0000 0.0000 4.4177
Sr Sc Re Ru
2 1 1 1
direct
0.0000 0.5000 0.0000
0.5000 0.0000 0.0000
0.0000 0.0000 0.0000
0.5000 0.5000 0.5000
0.0000 0.0000 0.5000

***

ScReTcRu (PBE, optimized geometry); uncorrected energy = -39.032 eV per cell; total magnetization = 0.0 μB/f.u.
1.0
0.0000 3.1366 3.1366
3.1366 0.0000 3.1366
3.1366 3.1366 0.0000
Sc Re Tc Ru
1 1 1 1
direct
0.0000 0.0000 0.0000
0.5000 0.5000 0.5000
0.2500 0.2500 0.2500
0.7500 0.7500 0.7500

***

ScVReRu (PBE, optimized geometry); uncorrected energy = -38.130 eV per cell; total magnetization = 0.0 μB/f.u.
1.0
0.0000 3.1152 3.1152
3.1152 0.0000 3.1152
3.1152 3.1152 0.0000
Sc V Re Ru
1 1 1 1
direct
0.0000 0.0000 0.0000
0.5000 0.5000 0.5000
0.7500 0.7500 0.7500
0.2500 0.2500 0.2500

***

ScZnReRu2 (PBE, optimized geometry); uncorrected energy = -29.485 eV per cell; total magnetization = 2.1 μB/f.u.
1.0
4.5753 0.0000 0.0000
0.0000 4.5753 0.0000
0.0000 0.0000 4.6808
Sc Zn Re Ru
1 1 1 2
direct
0.0000 0.0000 0.0000
0.5000 0.5000 0.5000
0.0000 0.0000 0.5000
0.0000 0.5000 0.0000
0.5000 0.0000 0.0000

***

ZrScReRu (PBE, optimized geometry); uncorrected energy = -37.754 eV per cell; total magnetization = 0.0 μB/f.u.
1.0
0.0000 3.2624 3.2624
3.2624 0.0000 3.2624
3.2624 3.2624 0.0000
Zr Sc Re Ru
1 1 1 1
direct
0.0000 0.0000 0.0000
0.5000 0.5000 0.5000
0.7500 0.7500 0.7500
0.2500 0.2500 0.2500